Crystalline BaCdInPtPb at its relaxed geometry. Source: OQMD, functional PBE.

Unit cell a=4.9378 b=4.9378 c=11.5749 alpha=90.00 beta=90.00 gamma=90.00
Closest atoms and distances in Å follow each position.
Positions (direct):
Ba 0.0000 0.5000 0.2567  4 In 3.72, 4 Pb 3.75, 4 Pt 3.76, 4 Cd 3.86
Ba 0.5000 0.0000 0.7433  4 In 3.72, 4 Pb 3.75, 4 Pt 3.76, 4 Cd 3.86
Cd 0.0000 0.0000 0.0000  4 In 2.99
Cd 0.5000 0.5000 0.0000  4 In 2.99
In 0.5000 0.0000 0.1464  1 Pt 2.68, 4 Cd 2.99
In 0.0000 0.5000 0.8536  1 Pt 2.68, 4 Cd 2.99
Pb 0.0000 0.0000 0.5000  4 Pt 2.85
Pb 0.5000 0.5000 0.5000  4 Pt 2.85
Pt 0.5000 0.0000 0.3777  1 In 2.68, 4 Pb 2.85
Pt 0.0000 0.5000 0.6223  1 In 2.68, 4 Pb 2.85

**E**: -3.53 eV/atom
**SG**: P4/nmm
**Magnetization**: 0.03 μB per cell

Crystalline DyInBr3 at its relaxed geometry. Source: OQMD, functional PBE.

Unit cell a=9.6815 b=3.9134 c=16.4523 alpha=90.00 beta=90.00 gamma=90.00
Closest atoms and distances in Å follow each position.
Positions (direct):
Br 0.8333 0.7500 0.0004  2 Dy 2.86
Br 0.4516 0.7500 0.1238  3 Dy 2.92-2.94
Br 0.7643 0.2500 0.2033  1 Dy 2.86
Br 0.2643 0.2500 0.2967  1 Dy 2.86
Br 0.9516 0.7500 0.3762  3 Dy 2.92-2.94
Br 0.3333 0.7500 0.4996  2 Dy 2.86
Br 0.6667 0.2500 0.5004  2 Dy 2.86
Br 0.0484 0.2500 0.6238  3 Dy 2.92-2.94
Br 0.7357 0.7500 0.7033  1 Dy 2.86
Br 0.2357 0.7500 0.7967  1 Dy 2.86
Br 0.5484 0.2500 0.8762  3 Dy 2.92-2.94
Br 0.1667 0.2500 0.9996  2 Dy 2.86
Dy 0.6338 0.2500 0.0476  6 Br 2.86-2.94
Dy 0.1338 0.2500 0.4524  6 Br 2.86-2.94
Dy 0.8662 0.7500 0.5476  6 Br 2.86-2.94
Dy 0.3662 0.7500 0.9524  6 Br 2.86-2.94
In 0.0341 0.7500 0.1776  6 Br 3.29-3.55
In 0.5341 0.7500 0.3224  6 Br 3.29-3.55
In 0.4659 0.2500 0.6776  6 Br 3.29-3.55
In 0.9659 0.2500 0.8224  6 Br 3.29-3.55

**E**: -3.68 eV/atom
**SG**: Pnma
**Magnetization**: 3.60 μB per cell

Crystalline Nd3In2As4 at its relaxed geometry. Source: OQMD, functional PBE.

Unit cell a=6.2598 b=17.4729 c=4.3365 alpha=90.00 beta=90.00 gamma=90.00
Closest atoms and distances in Å follow each position.
Positions (direct):
As 0.2306 0.0897 0.0000  1 In 2.72, 4 Nd 2.93-3.04
As 0.3051 0.3235 0.0000  2 In 2.82, 4 Nd 3.07-3.16
As 0.6949 0.6765 0.0000  2 In 2.82, 4 Nd 3.07-3.16
As 0.7694 0.9103 0.0000  1 In 2.72, 4 Nd 2.93-3.04
As 0.8051 0.1765 0.5000  2 In 2.82, 4 Nd 3.07-3.16
As 0.7306 0.4103 0.5000  1 In 2.72, 4 Nd 2.93-3.04
As 0.2694 0.5897 0.5000  1 In 2.72, 4 Nd 2.93-3.04
As 0.1949 0.8235 0.5000  2 In 2.82, 4 Nd 3.07-3.16
In 0.6642 0.0863 0.0000  3 As 2.72-2.82
In 0.3358 0.9137 0.0000  3 As 2.72-2.82
In 0.1642 0.4137 0.5000  3 As 2.72-2.82
In 0.8358 0.5863 0.5000  3 As 2.72-2.82
Nd 0.8054 0.3009 0.0000  6 As 2.93-3.16
Nd 0.5000 0.5000 0.0000  6 As 3.04-3.32, 4 In 3.38
Nd 0.1946 0.6991 0.0000  6 As 2.93-3.16
Nd 0.0000 0.0000 0.5000  6 As 3.04-3.32, 4 In 3.38
Nd 0.3054 0.1991 0.5000  6 As 2.93-3.16
Nd 0.6946 0.8009 0.5000  6 As 2.93-3.16

**E**: -5.13 eV/atom
**SG**: Pnnm
**Magnetization**: 0.00 μB per cell